PmZnGe, relaxed, DFT PBE; space-group type = No. 216; energy above the lowest structure with this stoichiometry = 0.585 eV/atom; VASP energy = -3.64 eV per atom
1.0
-4.606 0.285 1.405
-3.328 1.796 -2.995
-3.305 -2.916 -1.961
Ge Zn Pm
1 1 1
Direct
0.250 0.250 0.250
0.750 0.750 0.750
0.000 0.000 0.000

PmZnGe, relaxed, DFT PBE; space-group type = No. 216; energy above the lowest structure with this stoichiometry = 0.305 eV/atom; VASP energy = -3.92 eV per atom
1.0
0.000 3.244 3.244
3.244 0.000 3.244
3.244 3.244 0.000
Zn Pm Ge
1 1 1
Direct
0.000 0.000 0.000
0.750 0.750 0.750
0.250 0.250 0.250

PmZnGe, relaxed, DFT PBE; space-group type = No. 187; energy above the lowest structure with this stoichiometry = 0.000 eV/atom; VASP energy = -4.22 eV per atom
1.0
4.225 0.000 0.000
-2.112 3.659 0.000
0.000 0.000 4.205
Pm Ge Zn
1 1 1
Direct
0.333 0.667 0.333
0.000 0.000 0.834
0.667 0.333 0.833

Pm3Zn2Ge2, relaxed, DFT PBE; space-group type = No. 71; VASP energy = -4.38 eV per atom
1.0
9.542 0.622 1.675
6.985 5.722 3.565
-8.620 -4.464 0.069
Zn Ge Pm
2 2 3
Direct
0.565 0.565 0.000
0.435 0.435 0.000
0.355 0.855 0.500
0.645 0.145 0.500
0.815 0.315 0.500
0.185 0.685 0.500
0.000 0.000 0.000

Pm2Zn6Ge3, relaxed, DFT PBE; space-group type = No. 189; VASP energy = -3.23 eV per atom
1.0
7.647 0.000 0.000
-3.824 6.623 0.000
0.000 0.000 4.087
Zn Pm Ge
6 2 3
Direct
0.810 0.000 0.000
0.286 0.000 0.500
0.000 0.810 0.000
0.000 0.286 0.500
0.190 0.190 0.000
0.714 0.714 0.500
0.667 0.333 0.000
0.333 0.667 0.000
0.385 0.385 0.500
0.615 0.000 0.500
0.000 0.615 0.500

Pr4Ge7, relaxed, DFT PBE; space-group type = No. 20; VASP energy = -5.40 eV per atom
1.0
3.030 -7.071 0.000
3.030 7.071 0.000
0.000 0.000 12.139
Pr Ge
8 14
Direct
0.513 0.513 0.500
0.982 0.491 0.120
0.491 0.982 0.880
0.995 0.005 0.750
0.509 0.018 0.380
0.005 0.995 0.250
0.487 0.487 0.000
0.018 0.509 0.620
0.073 0.897 0.990
0.426 0.083 0.128
0.530 0.830 0.159
0.830 0.530 0.841
0.927 0.103 0.490
0.083 0.426 0.872
0.574 0.917 0.628
0.897 0.073 0.010
0.563 0.437 0.250
0.470 0.170 0.659
0.437 0.563 0.750
0.917 0.574 0.372
0.170 0.470 0.341
0.103 0.927 0.510

> What is the formula in the fifth record?

Pm2Zn6Ge3